Entry from Alexandria: crystalline NdPuSi4 at its relaxed geometry (GGA-PBE).

Cell and atoms, written as CIF:
```
data_NdPuSi4
_symmetry_space_group_name_H-M 'P m m m'
_symmetry_Int_Tables_number 47
_cell_length_a 4.075
_cell_length_b 4.075
_cell_length_c 7.086
_cell_angle_alpha 90.00
_cell_angle_beta 90.00
_cell_angle_gamma 90.00
loop_
_symmetry_equiv_pos_as_xyz
'x,y,z'
'-x,-y,-z'
'-x,-y,z'
'x,y,-z'
'x,-y,-z'
'-x,y,z'
'-x,y,-z'
'x,-y,z'
loop_
_atom_site_label
_atom_site_type_symbol
_atom_site_fract_x
_atom_site_fract_y
_atom_site_fract_z
Nd1 Nd 0.000 0.000 0.000
Pu1 Pu 0.000 0.500 0.500
Si1 Si 0.500 0.000 0.337
Si2 Si 0.500 0.500 0.170
```

Results
E_form (uncorrected) = -565.8 meV per atom
Volume = 117.7 Å³ per cell
Offset from the most stable computed form = 0.00 eV/f.u.
Energy = -44.186 eV per formula unit